No. 1
AcNi2: optimized geometry, PBE.

```
6
Lattice="-2.508 4.213 -2.174 -5.298 0.576 0.612 -1.929 3.891 3.148" Properties=species:S:1:pos:R:3 pbc="T T T"
Ni -5.120 3.480 -0.583
Ni -4.830 3.319 2.078
Ni -3.435 5.137 0.685
Ni -6.084 5.425 0.991
Ac -2.434 2.170 0.396
Ac 0.000 0.000 0.000
```

- E above lowest polymorph (meV/atom) = 118
- space group = No. 227
- crystal system = cubic
- volume (Å³ per cell) = 109.1
- D(E_F) (states/eV/atom) = 0.61
- density (g cm⁻³) = 10.5
- DFT formation energy (eV per atom) = -0.154

---

No. 2
AcNi2: optimized geometry, PBE.

```
3
Lattice="4.221 0.000 0.000 0.000 4.136 -0.007 0.000 -2.062 3.585" Properties=species:S:1:pos:R:3 pbc="T T T"
Ni 0.000 2.070 1.191
Ni 0.000 0.004 2.388
Ac 2.111 0.000 0.000
```

- E above lowest polymorph (meV/atom) = 0
- space group = No. 191
- crystal system = hexagonal
- volume (Å³ per cell) = 62.5
- D(E_F) (states/eV/atom) = 1.24
- density (g cm⁻³) = 9.1
- DFT formation energy (eV per atom) = -0.272

---

No. 3
Ac4Ni: optimized geometry, PBE.

```
10
Lattice="6.705 0.019 0.038 -0.042 7.298 3.817 -0.049 0.326 8.264" Properties=species:S:1:pos:R:3 pbc="T T T"
Ac 4.911 6.171 6.034
Ac 1.638 4.907 3.972
Ac 4.952 6.386 10.056
Ac 1.550 5.120 7.994
Ac 1.663 1.257 2.063
Ac 1.704 1.472 6.085
Ac 4.977 2.736 8.147
Ac 5.065 2.523 4.125
Ni 3.353 0.009 0.019
Ni -0.021 3.649 1.909
```

- E above lowest polymorph (meV/atom) = 0
- space group = No. 64
- crystal system = orthorhombic
- volume (Å³ per cell) = 396.1
- D(E_F) (states/eV/atom) = 1.50
- density (g cm⁻³) = 8.1
- DFT formation energy (eV per atom) = -0.058

---

No. 4
Ac2Ni7: optimized geometry, PBE.

```
18
Lattice="5.038 0.000 1.031 2.414 4.423 1.031 -0.002 -0.001 12.831" Properties=species:S:1:pos:R:3 pbc="T T T"
Ni 3.316 0.480 9.446
Ni 2.081 1.235 2.657
Ni 4.570 2.712 3.320
Ni 2.933 1.741 4.935
Ni 5.440 1.741 5.448
Ni 3.725 2.211 7.447
Ni 4.517 2.681 9.959
Ni 1.207 2.211 0.516
Ni 2.880 1.709 11.574
Ni 2.519 0.000 0.516
Ni 3.726 2.211 1.031
Ni 2.010 2.681 9.446
Ni 4.134 3.941 5.448
Ni 5.369 3.186 12.237
Ac 6.366 3.778 7.365
Ac 1.083 0.643 7.530
Ac 7.078 4.201 3.889
Ac 0.372 0.221 11.005
```

- space group = No. 166
- crystal system = trigonal
- volume (Å³ per cell) = 285.9
- D(E_F) (states/eV/atom) = 1.05
- density (g cm⁻³) = 10.0
- DFT formation energy (eV per atom) = -0.210

---

No. 5
Ac5Ni3: optimized geometry, PBE.

```
32
Lattice="8.398 0.000 0.000 0.000 8.398 0.000 0.000 0.000 13.678" Properties=species:S:1:pos:R:3 pbc="T T T"
Ac 1.632 7.362 1.546
Ac 4.199 0.000 11.096
Ac 0.000 4.199 9.421
Ac 0.000 4.199 2.582
Ac 2.567 3.163 5.293
Ac 3.163 5.831 8.385
Ac 1.036 1.632 12.132
Ac 2.567 5.235 12.132
Ac 5.235 2.567 8.385
Ac 1.632 1.036 8.385
Ac 5.235 5.831 1.546
Ac 6.766 7.362 8.385
Ac 6.766 1.036 1.546
Ac 5.831 5.235 5.293
Ac 4.199 0.000 4.257
Ac 1.036 6.766 5.293
Ac 7.362 1.632 5.293
Ac 5.831 3.163 12.132
Ac 3.163 2.567 1.546
Ac 7.362 6.766 12.132
Ni 7.214 1.184 10.258
Ni 0.000 4.199 6.433
Ni 0.000 4.199 13.272
Ni 4.199 0.000 7.245
Ni 5.383 3.015 3.419
Ni 3.015 3.015 10.258
Ni 1.184 1.184 3.420
Ni 4.199 0.000 0.406
Ni 1.184 7.215 10.259
Ni 5.383 5.383 10.258
Ni 3.015 5.383 3.419
Ni 7.214 7.215 3.419
```

- space group = No. 130
- crystal system = tetragonal
- volume (Å³ per cell) = 964.7
- D(E_F) (states/eV/atom) = 1.03
- density (g cm⁻³) = 9.0
- DFT formation energy (eV per atom) = -0.142

---

No. 6
Ac5Ni: optimized geometry, PBE.

```
6
Lattice="6.329 0.000 0.000 0.000 3.989 0.000 0.000 -1.995 9.468" Properties=species:S:1:pos:R:3 pbc="T T T"
Ni 0.000 0.000 0.000
Ac 0.000 0.000 7.226
Ac 0.000 1.995 2.242
Ac 3.164 0.000 3.165
Ac 3.164 1.995 6.303
Ac 3.164 1.995 0.000
```

- E above lowest polymorph (meV/atom) = 146
- space group = No. 65
- crystal system = orthorhombic
- volume (Å³ per cell) = 239.1
- D(E_F) (states/eV/atom) = 1.64
- density (g cm⁻³) = 8.3
- DFT formation energy (eV per atom) = 0.152

---

No. 7
Ac3Ni: optimized geometry, PBE.

```
8
Lattice="4.014 0.000 0.000 -2.007 6.535 0.000 0.000 0.000 10.809" Properties=species:S:1:pos:R:3 pbc="T T T"
Ac 2.007 1.278 2.702
Ac 0.000 5.257 8.107
Ac 2.007 4.717 4.622
Ac 0.000 1.818 10.027
Ac 2.007 4.717 0.782
Ac 0.000 1.818 6.187
Ni 2.007 2.985 8.107
Ni 0.000 3.550 2.702
```

- E above lowest polymorph (meV/atom) = 0
- space group = No. 63
- crystal system = orthorhombic
- volume (Å³ per cell) = 283.5
- D(E_F) (states/eV/atom) = 1.34
- density (g cm⁻³) = 8.7
- DFT formation energy (eV per atom) = -0.128

---

No. 8
Ac4Ni3: optimized geometry, PBE.

```
7
Lattice="3.976 0.000 -1.293 -0.442 6.570 -1.358 0.360 0.382 7.868" Properties=species:S:1:pos:R:3 pbc="T T T"
Ac 2.278 1.901 0.246
Ac 3.496 1.571 3.992
Ac 0.398 5.381 1.224
Ac 1.616 5.051 4.971
Ni 0.000 0.000 0.000
Ni 2.954 4.164 2.325
Ni 0.940 2.788 2.892
```

- space group = No. 12
- crystal system = monoclinic
- volume (Å³ per cell) = 210.9
- D(E_F) (states/eV/atom) = 0.79
- density (g cm⁻³) = 8.5
- DFT formation energy (eV per atom) = -0.197

---

What is the formula in the first record? AcNi2

---

volume of number 8 (Ac4Ni3)? 210.9 Å³ per cell

---

Copy entry 8 word for word.
Ac4Ni3: optimized geometry, PBE.

```
7
Lattice="3.976 0.000 -1.293 -0.442 6.570 -1.358 0.360 0.382 7.868" Properties=species:S:1:pos:R:3 pbc="T T T"
Ac 2.278 1.901 0.246
Ac 3.496 1.571 3.992
Ac 0.398 5.381 1.224
Ac 1.616 5.051 4.971
Ni 0.000 0.000 0.000
Ni 2.954 4.164 2.325
Ni 0.940 2.788 2.892
```

- space group = No. 12
- crystal system = monoclinic
- volume (Å³ per cell) = 210.9
- D(E_F) (states/eV/atom) = 0.79
- density (g cm⁻³) = 8.5
- DFT formation energy (eV per atom) = -0.197

---

Please write out number 2 again, unchanged.
AcNi2: optimized geometry, PBE.

```
3
Lattice="4.221 0.000 0.000 0.000 4.136 -0.007 0.000 -2.062 3.585" Properties=species:S:1:pos:R:3 pbc="T T T"
Ni 0.000 2.070 1.191
Ni 0.000 0.004 2.388
Ac 2.111 0.000 0.000
```

- E above lowest polymorph (meV/atom) = 0
- space group = No. 191
- crystal system = hexagonal
- volume (Å³ per cell) = 62.5
- D(E_F) (states/eV/atom) = 1.24
- density (g cm⁻³) = 9.1
- DFT formation energy (eV per atom) = -0.272